# 1
Material: PrLuO
Method: DFT, GGA-PBE
State: optimized geometry

Results
Total DFT energy (no corrections), eV per atom: -6.51

a = 3.5240 Å, b = 3.5240 Å, c = 6.0755 Å
α = 90.00°, β = 90.00°, γ = 120.00°
Space group P3m1 (No. 156)
Symmetry-distinct sites (fractional):
Pr 0.0000 0.0000 0.0000 x1
Lu 0.3333 0.6667 0.4669 x1
O 0.6667 0.3333 0.3026 x1

# 2
Material: PrLuO2
Method: DFT, GGA-PBE
State: optimized geometry

Results
Total DFT energy (no corrections), eV per atom: -7.64

a = 3.5265 Å, b = 3.5265 Å, c = 20.2860 Å
α = 90.00°, β = 90.00°, γ = 120.00°
Space group R-3m (No. 166, hexagonal axes)
Symmetry-distinct sites (fractional):
Pr 0.0000 0.0000 0.0000 x3
Lu 0.0000 0.0000 0.5000 x3
O 0.0000 0.0000 0.1161 x6